# 1
Tm2NpGa2Ru5 | PBE | relaxed

Cell: 10.043 10.043 3.421 Å, 90.00 90.00 90.00°
Space group P4/mbm (No. 127)
One atom of each set of equivalent atoms:
Tm (0.168, 0.332, 0.000) [4 per cell]
Np (0.000, 0.000, 0.000) [2 per cell]
Ga (0.128, 0.628, 0.000) [4 per cell]
Ru (0.000, 0.500, 0.500) [2 per cell]
Ru (0.068, 0.802, 0.500) [8 per cell]

Calculated values
ΔH_f (0 K) = -0.40 eV per atom
theoretical density = 11.74 g/cm3
M_tot = 1.9 μB per cell

***

# 2
Np2UGa2Ru5 | PBE | relaxed

Cell: 10.003 10.003 3.515 Å, 90.00 90.00 90.00°
Space group P4/mbm (No. 127)
One atom of each set of equivalent atoms:
Np (0.167, 0.333, 0.000) [4 per cell]
U (0.000, 0.000, 0.000) [2 per cell]
Ga (0.129, 0.629, 0.000) [4 per cell]
Ru (0.000, 0.500, 0.500) [2 per cell]
Ru (0.070, 0.801, 0.500) [8 per cell]

Calculated values
ΔH_f (0 K) = -0.17 eV per atom
theoretical density = 12.81 g/cm3
M_tot = 13.9 μB per cell

***

# 3
NpZnGaRu | PBE | relaxed

Cell: 6.556 6.556 6.556 Å, 90.00 90.00 90.00°
Space group F-43m (No. 216)
One atom of each set of equivalent atoms:
Np (0.000, 0.000, 0.000) [4 per cell]
Zn (0.250, 0.250, 0.750) [4 per cell]
Ga (0.000, 0.000, 0.500) [4 per cell]
Ru (0.250, 0.250, 0.250) [4 per cell]

Calculated values
ΔH_f (0 K) = 0.09 eV per atom
theoretical density = 11.15 g/cm3
M_tot = 13.2 μB per cell

***

# 4
NpGaS2 | PBE | relaxed

Cell: 3.9537 3.9537 25.4280 Å, 90.00 90.00 120.00°
Space group R-3m (No. 166, hexagonal axes)
One atom of each set of equivalent atoms:
Np (0.0000, 0.0000, 0.0000) [3 per cell]
Ga (0.0000, 0.0000, 0.5000) [3 per cell]
S (0.0000, 0.0000, 0.3904) [6 per cell]

Calculated values
theoretical density = 5.37 g/cm3
VASP energy = -6.8512 eV per atom
M_tot = 11.2 μB per cell

***

# 5
Np2GaS6 | PBE | relaxed

Cell: 6.035 6.035 11.926 Å, 90.00 90.00 90.00°
Space group P4_2/mnm (No. 136)
One atom of each set of equivalent atoms:
Np (0.000, 0.000, 0.168) [4 per cell]
Ga (0.000, 0.000, 0.500) [2 per cell]
S (0.191, 0.191, 0.344) [8 per cell]
S (0.198, 0.198, 0.000) [4 per cell]

Calculated values
theoretical density = 5.63 g/cm3
VASP energy = -6.8129 eV per atom
M_tot = 10.0 μB per cell

***

# 6
NpGaS2 | PBE | relaxed

Cell: 4.0234 4.0234 21.1757 Å, 90.00 90.00 120.00°
Space group R3m (No. 160, hexagonal axes)
One atom of each set of equivalent atoms:
Np (0.0000, 0.0000, 0.0000) [3 per cell]
Ga (0.0000, 0.0000, 0.8243) [3 per cell]
S (0.0000, 0.0000, 0.4051) [3 per cell]
S (0.0000, 0.0000, 0.6002) [3 per cell]

Calculated values
theoretical density = 6.22 g/cm3
VASP energy = -6.9366 eV per atom
M_tot = 12.0 μB per cell

***

# 7
NpTl2GaS4 | PBE | relaxed

Cell: 8.102 8.699 11.895 Å, 90.00 90.00 90.00°
Space group Imma (No. 74)
One atom of each set of equivalent atoms:
Np (0.250, 0.250, 0.250) [4 per cell]
Tl (0.000, 0.000, 0.000) [4 per cell]
Tl (0.250, 0.250, 0.750) [4 per cell]
Ga (0.000, 0.000, 0.500) [4 per cell]
S (0.000, 0.045, 0.259) [8 per cell]
S (0.229, 0.250, 0.466) [8 per cell]

Calculated values
theoretical density = 6.69 g/cm3
VASP energy = -5.3193 eV per atom
M_tot = 8.9 μB per cell

***

# 8
NpGa4Sb | PBE | relaxed

Cell: 7.897 7.897 7.897 Å, 90.00 90.00 90.00°
Space group F-43m (No. 216)
One atom of each set of equivalent atoms:
Np (0.000, 0.000, 0.000) [4 per cell]
Ga (0.125, 0.125, 0.625) [16 per cell]
Sb (0.250, 0.250, 0.250) [4 per cell]

Calculated values
theoretical density = 8.60 g/cm3
VASP energy = -4.8334 eV per atom
M_tot = 20.4 μB per cell

***

# 9
NpScGa4 | PBE | relaxed

Cell: 7.683 7.683 7.683 Å, 90.00 90.00 90.00°
Space group F-43m (No. 216)
One atom of each set of equivalent atoms:
Np (0.000, 0.000, 0.000) [4 per cell]
Sc (0.250, 0.250, 0.750) [4 per cell]
Ga (0.125, 0.125, 0.375) [16 per cell]

Calculated values
ΔH_f (0 K) = -0.24 eV per atom
theoretical density = 8.21 g/cm3
energy relative to the lowest polymorph listed for this composition = 2.228 kcal/mol of atoms
M_tot = 19.1 μB per cell

***

# 10
Np2ScGa6 | PBE | relaxed

Cell: 7.9609 7.9609 3.1207 Å, 90.00 90.00 120.00°
Space group P6/mmm (No. 191)
One atom of each set of equivalent atoms:
Np (0.3333, 0.6667, 0.0000) [2 per cell]
Sc (0.0000, 0.0000, 0.0000) [1 per cell]
Ga (0.0000, 0.3253, 0.5000) [6 per cell]

Calculated values
ΔH_f (0 K) = -0.27 eV per atom
theoretical density = 9.09 g/cm3
M_tot = 7.9 μB per cell

***

# 11
NpScGa4 | PBE | relaxed

Cell: 3.180 4.474 7.930 Å, 90.00 90.00 90.00°
Space group Pmmm (No. 47)
One atom of each set of equivalent atoms:
Np (0.000, 0.000, 0.000) [1 per cell]
Sc (0.000, 0.500, 0.500) [1 per cell]
Ga (0.500, 0.000, 0.341) [2 per cell]
Ga (0.500, 0.500, 0.176) [2 per cell]

Calculated values
ΔH_f (0 K) = -0.34 eV per atom
theoretical density = 8.25 g/cm3
energy relative to the lowest polymorph listed for this composition = 0.000 kcal/mol of atoms
M_tot = 4.1 μB per cell